1.
# KCd2Ag (PBE, relaxed)
# * spin magnetization: 0.0 μB/f.u.
# * relative energy among the computed polymorphs: 67 meV/atom
# * DFT formation energy: -0.003 eV/atom
data_KCd2Ag
_space_group_name_H-M_alt 'P m m m'
_space_group_IT_number 47
_space_group_name_Hall '-P 2 2'
_cell_length_a 3.211
_cell_length_b 4.104
_cell_length_c 8.106
_cell_angle_alpha 90.00
_cell_angle_beta 90.00
_cell_angle_gamma 90.00
loop_
_atom_site_label
_atom_site_fract_x
_atom_site_fract_y
_atom_site_fract_z
K1 0.000 0.000 0.000
Cd1 0.500 0.500 0.312
Ag1 0.000 0.000 0.500


2.
# AcPm4DyEr2 (PBE, relaxed)
# * spin magnetization: 0.0 μB/f.u.
# * DFT formation energy: 0.126 eV/atom
data_AcPm4DyEr2
_space_group_name_H-M_alt 'P m m m'
_space_group_IT_number 47
_space_group_name_Hall '-P 2 2'
_cell_length_a 5.961
_cell_length_b 5.977
_cell_length_c 7.717
_cell_angle_alpha 90.00
_cell_angle_beta 90.00
_cell_angle_gamma 90.00
loop_
_atom_site_label
_atom_site_fract_x
_atom_site_fract_y
_atom_site_fract_z
Ac1 0.000 0.000 0.000
Pm1 0.000 0.500 0.269
Pm2 0.500 0.000 0.270
Dy1 0.500 0.500 0.500
Er1 0.000 0.000 0.500
Er2 0.500 0.500 0.000


3.
# K2RePb (PBE, relaxed)
# * spin magnetization: 3.9 μB/f.u.
# * DFT formation energy: 1.205 eV/atom
data_K2RePb
_space_group_name_H-M_alt 'I -4 m 2'
_space_group_IT_number 119
_space_group_name_Hall 'I -4 -2'
_cell_length_a 5.534
_cell_length_b 5.534
_cell_length_c 7.803
_cell_angle_alpha 90.00
_cell_angle_beta 90.00
_cell_angle_gamma 90.00
loop_
_atom_site_label
_atom_site_fract_x
_atom_site_fract_y
_atom_site_fract_z
K1 0.000 0.000 0.000
K2 0.000 0.500 0.250
Re1 0.000 0.500 0.750
Pb1 0.000 0.000 0.500


4.
# Ta2PbCl (PBE, relaxed)
# * spin magnetization: 0.0 μB/f.u.
# * relative energy among the computed polymorphs: 562 meV/atom
data_Ta2PbCl
_space_group_name_H-M_alt 'I m m m'
_space_group_IT_number 71
_space_group_name_Hall '-I 2 2'
_cell_length_a 2.966
_cell_length_b 5.640
_cell_length_c 9.521
_cell_angle_alpha 90.00
_cell_angle_beta 90.00
_cell_angle_gamma 90.00
loop_
_atom_site_label
_atom_site_fract_x
_atom_site_fract_y
_atom_site_fract_z
Ta1 0.000 0.000 0.225
Pb1 0.000 0.500 0.000
Cl1 0.000 0.500 0.500


5.
# TlPtCl (PBE, relaxed)
# * spin magnetization: 0.0 μB/f.u.
# * relative energy among the computed polymorphs: 139 meV/atom
data_TlPtCl
_space_group_name_H-M_alt 'I 4 m m'
_space_group_IT_number 107
_space_group_name_Hall 'I 4 -2'
_cell_length_a 3.478
_cell_length_b 3.478
_cell_length_c 11.035
_cell_angle_alpha 90.00
_cell_angle_beta 90.00
_cell_angle_gamma 90.00
loop_
_atom_site_label
_atom_site_fract_x
_atom_site_fract_y
_atom_site_fract_z
Tl1 0.000 0.000 0.000
Pt1 0.000 0.000 0.378
Cl1 0.000 0.000 0.717


6.
# Ta3CrRu (PBE, relaxed)
# * spin magnetization: 4.1 μB/f.u.
# * relative energy among the computed polymorphs: 174 meV/atom
# * DFT formation energy: 1.290 eV/atom
data_Ta3CrRu
_space_group_name_H-M_alt 'P m -3 m'
_space_group_IT_number 221
_space_group_name_Hall '-P 4 2 3'
_cell_length_a 4.787
_cell_length_b 4.787
_cell_length_c 4.787
_cell_angle_alpha 90.00
_cell_angle_beta 90.00
_cell_angle_gamma 90.00
loop_
_atom_site_label
_atom_site_fract_x
_atom_site_fract_y
_atom_site_fract_z
Ta1 0.000 0.000 0.500
Cr1 0.500 0.500 0.500
Ru1 0.000 0.000 0.000